(1)
Ho3Tm7In: optimized geometry, PBE-GGA.

Cell: 8.408 6.870 6.870 Å, 120.00 90.00 90.00°
Positions (direct):
Ho 0.784 0.501 0.499
Ho 0.784 0.501 0.002
Ho 0.784 0.998 0.499
Tm 0.123 0.168 0.832
Tm 0.123 0.168 0.336
Tm 0.112 0.667 0.333
Tm 0.446 0.830 0.170
Tm 0.446 0.339 0.170
Tm 0.446 0.830 0.661
Tm 0.123 0.664 0.832
In 0.446 0.333 0.667

## Properties
Magnetic moment ... 0.00 μB/f.u.
DFT formation energy ... 0.124 eV/atom
Crystal system ... trigonal
SG ... P3m1, No. 156

***

(2)
Sm2Er4Te9: optimized geometry, PBE-GGA.

Cell: 7.707 7.707 21.088 Å, 90.00 90.00 60.00°
Positions (direct):
Sm 0.000 0.000 0.345
Sm 0.000 0.000 0.155
Sm 0.000 0.000 0.655
Sm 0.000 0.000 0.845
Er 0.333 0.333 0.991
Er 0.333 0.333 0.491
Er 0.667 0.667 0.009
Er 0.333 0.333 0.176
Er 0.667 0.667 0.509
Er 0.666 0.667 0.324
Er 0.334 0.333 0.676
Er 0.667 0.667 0.824
Te 0.000 0.320 0.750
Te 0.320 0.680 0.750
Te 0.681 0.000 0.750
Te 0.000 0.680 0.250
Te 0.680 0.320 0.250
Te 0.319 0.000 0.250
Te 0.657 0.981 0.417
Te 0.981 0.361 0.417
Te 0.361 0.657 0.417
Te 0.638 0.019 0.083
Te 0.343 0.639 0.083
Te 0.019 0.342 0.083
Te 0.343 0.019 0.583
Te 0.019 0.639 0.583
Te 0.639 0.343 0.583
Te 0.362 0.981 0.917
Te 0.657 0.361 0.917
Te 0.981 0.658 0.917

## Properties
Magnetic moment ... 0.00 μB/f.u.
Formation energy from raw total energies ... -1.353 eV/atom
Crystal system ... trigonal
SG ... P-3c1, No. 165

***

(3)
MgZn2Cd2: optimized geometry, PBE-GGA.

Cell: 4.437 4.437 5.763 Å, 89.96 89.96 112.47°
Positions (direct):
Mg 0.000 0.000 0.000
Zn 0.831 0.169 0.500
Zn 0.169 0.831 0.500
Cd 0.500 0.500 0.751
Cd 0.500 0.500 0.249

## Properties
Magnetic moment ... 0.00 μB/f.u.
DFT formation energy ... 0.072 eV/atom
Crystal system ... orthorhombic
ΔE to the lowest computed polymorph ... 21 meV per atom
SG ... Cmmm, No. 65

***

(4)
Li3TcBr8: optimized geometry, PBE-GGA.

Cell: 6.706 6.706 7.974 Å, 90.00 90.00 113.53°
Last column: magnetic moment on the atom in μB.
Positions (direct):
Li 0.000 0.500 0.232  0.00
Li 0.500 0.500 0.000  0.00
Li 0.500 0.000 0.768  0.00
Tc 0.500 0.500 0.500  2.01
Br 0.724 0.276 0.500  0.00
Br 0.736 0.264 0.000  0.16
Br 0.736 0.750 0.724  0.04
Br 0.750 0.736 0.276  0.04
Br 0.250 0.264 0.276  0.04
Br 0.264 0.250 0.724  0.04
Br 0.264 0.736 0.000  0.16
Br 0.276 0.724 0.500  0.00

## Properties
Magnetic moment ... 2.93 μB/f.u.
Formation energy from raw total energies ... -0.863 eV/atom
Crystal system ... orthorhombic
SG ... C222, No. 21

***

(5)
Rb5BiS: optimized geometry, PBE-GGA.

Cell: 7.437 7.437 12.509 Å, 93.37 93.37 94.72°
Positions (direct):
Rb 0.956 0.362 0.147
Rb 0.771 0.606 0.510
Rb 0.362 0.956 0.647
Rb 0.126 0.874 0.250
Rb 0.394 0.229 0.990
Rb 0.606 0.771 0.010
Rb 0.874 0.126 0.750
Rb 0.638 0.044 0.353
Rb 0.229 0.394 0.490
Rb 0.044 0.638 0.853
Bi 0.488 0.512 0.250
Bi 0.512 0.488 0.750
S 0.000 0.000 0.000
S 0.000 0.000 0.500

## Properties
Magnetic moment ... 0.00 μB/f.u.
Formation energy from raw total energies ... -0.551 eV/atom
Crystal system ... monoclinic
SG ... C2/c, No. 15

***

(6)
HoGaSi: optimized geometry, PBE-GGA.

Cell: 4.194 5.707 5.707 Å, 75.96 68.44 68.44°
Positions (direct):
Ho 0.500 0.500 0.000
Ho 0.000 0.000 0.500
Ga 0.750 0.916 0.084
Ga 0.250 0.084 0.916
Si 0.250 0.423 0.577
Si 0.750 0.577 0.423

## Properties
Magnetic moment ... 0.00 μB/f.u.
Formation energy from raw total energies ... -0.605 eV/atom
Crystal system ... orthorhombic
SG ... Imma, No. 74

***

> The highest magnetic moment belongs to which entry?

Li3TcBr8

***

> Which formula does entry 6 have?

HoGaSi

***

> Which value of magnetic moment does entry 1 give?

0.00 μB/f.u.

***

> Which value of magnetic moment does entry 1 give?

0.00 μB/f.u.